Model A:
Here is a relaxed Al8Co5 crystal from OQMD via LeMat-Bulk. Energies are from PBE.

```
data_Al8Co5
_chemical_formula_sum 'Al24 Co15'
_cell_length_a 4.8858
_cell_length_b 4.8858
_cell_length_c 25.2730
_cell_angle_alpha 90.00
_cell_angle_beta 90.00
_cell_angle_gamma 120.00
_space_group_name_H-M_alt 'R -3 m'
_space_group_IT_number 166
_space_group_name_Hall '-R 3 2"'
loop_
_atom_site_label
_atom_site_fract_x
_atom_site_fract_y
_atom_site_fract_z
Al1 0.0000 0.0000 0.1673
Al2 0.0033 0.5016 0.4042
Co1 0.0000 0.0000 0.0000
Co2 0.0000 0.0000 0.3468
Co3 0.0000 0.0000 0.4524
```

---

Model B:
Here is a relaxed Al8Co5 crystal from OQMD via LeMat-Bulk. Energies are from PBE.

```
data_Al8Co5
_chemical_formula_sum 'Al24 Co15'
_cell_length_a 4.9463
_cell_length_b 4.9463
_cell_length_c 24.2142
_cell_angle_alpha 90.00
_cell_angle_beta 90.00
_cell_angle_gamma 120.00
_space_group_name_H-M_alt 'R -3 m'
_space_group_IT_number 166
_space_group_name_Hall '-R 3 2"'
loop_
_atom_site_label
_atom_site_fract_x
_atom_site_fract_y
_atom_site_fract_z
Al1 0.0000 0.0000 0.1485
Al2 0.0024 0.5012 0.0826
Co1 0.0000 0.0000 0.0486
Co2 0.0000 0.0000 0.3321
Co3 0.0000 0.0000 0.5000
```

---

Energetically preferred structure: model B | next structure: +13.6 kJ/mol of atoms

---

Model A:
Here is a relaxed ZnTc crystal from OQMD via LeMat-Bulk. Energies are from PBE.

```
data_ZnTc
_chemical_formula_sum 'Zn6 Tc6'
_cell_length_a 5.254
_cell_length_b 4.426
_cell_length_c 7.445
_cell_angle_alpha 90.00
_cell_angle_beta 99.38
_cell_angle_gamma 90.00
_space_group_name_H-M_alt 'P 1 21/m 1'
_space_group_IT_number 11
_space_group_name_Hall '-P 2yb'
loop_
_atom_site_label
_atom_site_fract_x
_atom_site_fract_y
_atom_site_fract_z
Zn1 0.025 0.250 0.109
Zn2 0.138 0.750 0.558
Zn3 0.365 0.250 0.445
Tc1 0.190 0.250 0.776
Tc2 0.290 0.750 0.222
Tc3 0.477 0.750 0.895
```

---

Model B:
Here is a relaxed ZnTc crystal from OQMD via LeMat-Bulk. Energies are from PBE.

```
data_ZnTc
_chemical_formula_sum 'Zn10 Tc10'
_cell_length_a 4.381
_cell_length_b 13.814
_cell_length_c 4.771
_cell_angle_alpha 90.00
_cell_angle_beta 90.00
_cell_angle_gamma 90.00
_space_group_name_H-M_alt 'A m m 2'
_space_group_IT_number 38
_space_group_name_Hall 'A 2 -2'
loop_
_atom_site_label
_atom_site_fract_x
_atom_site_fract_y
_atom_site_fract_z
Zn1 0.000 0.000 0.000
Zn2 0.000 0.199 0.995
Zn3 0.500 0.197 0.305
Tc1 0.000 0.097 0.507
Tc2 0.500 0.000 0.299
Tc3 0.500 0.094 0.800
```

---

Energetically preferred structure: model A | next structure: +3.9 kJ/mol of atoms